[1]
Below is an optimized crystal structure of Nd2Sm6Er3In, with properties calculated at the GGA-PBE level.

Properties
* E_form: -52 meV/atom

POSCAR file:
```
Nd2Sm6Er3In
1.0
6.1688 -0.0051 0.0012
-3.0873 5.3407 0.0012
-1.0330 -1.7886 11.6441
In Sm Er Nd
1 6 3 2
direct
0.0000 0.0000 0.0000
0.9162 0.5901 0.7483
0.7578 0.7578 0.2526
0.2422 0.2422 0.7474
0.5901 0.9162 0.7483
0.0838 0.4099 0.2517
0.4099 0.0838 0.2517
0.1671 0.8329 0.5000
0.8329 0.1671 0.5000
0.5000 0.5000 0.5000
0.6662 0.3338 0.0000
0.3338 0.6662 0.0000
```

***

[2]
Below is an optimized crystal structure of EuZrSc2, with properties calculated at the GGA-PBE level.

Properties
* energy above the most stable polymorph in this dataset: 0.000 eV per atom
* E_form: 163 meV/atom

POSCAR file:
```
EuZrSc2
1.0
3.7645 0.0000 0.0000
0.0000 3.7645 0.0000
0.0000 0.0000 7.7593
Sc Eu Zr
2 1 1
direct
0.0000 0.0000 0.7938
0.0000 0.0000 0.2062
0.5000 0.5000 0.5000
0.5000 0.5000 0.0000
```

***

[3]
Below is an optimized crystal structure of SrTl2Te, with properties calculated at the GGA-PBE level.

Properties
* energy above the most stable polymorph in this dataset: 0.070 eV per atom
* formation energy without anion corrections: -0.58 eV per atom

POSCAR file:
```
SrTl2Te
1.0
6.2771 -0.1363 -0.0742
4.3418 4.5353 -0.0742
2.0028 0.8297 4.4239
Tl Te Sr
2 1 1
direct
0.2505 0.2505 0.2494
0.9952 0.9952 0.0051
0.7513 0.7513 0.7484
0.5030 0.5030 0.4971
```

***

Number 1: E -54.9 eV for the cell shown, M_tot 0.0 μB/cell. Number 2: E -30.8 eV for the cell shown, M_tot 6.6 μB/cell. Number 3: E -11.9 eV for the cell shown, M_tot 0.0 μB/cell.